Computed, not measured: an optimized crystal structure of TlFeP2O8 at the GGA+U level of DFT.

* uncorrected energy: -6.54 eV per atom
* total magnetic moment: 10.10 μB per cell

```
data_TlFeP2O8
_cell_length_a 6.826
_cell_length_b 6.826
_cell_length_c 5.871
_cell_angle_alpha 90.00
_cell_angle_beta 90.00
_cell_angle_gamma 90.00
_space_group_name_H-M_alt 'I -4 m 2'
_space_group_IT_number 119
_space_group_name_Hall 'I -4 -2'
loop_
_atom_site_label
_atom_site_fract_x
_atom_site_fract_y
_atom_site_fract_z
Tl1 0.000 0.000 0.000
Fe1 0.000 0.500 0.250
P1 0.000 0.000 0.500
P2 0.000 0.500 0.750
O1 0.000 0.182 0.337
O2 0.000 0.330 0.926
```